1.
VASP calculation (PBE) on an optimized crystal structure of SmDy6Tm2Sc3.

## Properties
calculated total energy	-59.74	eV per formula unit
energy of formation from the pure elements	0.044	eV per atom

Cell: 6.0282 6.0282 11.4378 Å, 95.03 95.03 119.96°
Closest atoms and distances in Å follow each position.
Fractional coordinates of all 12 atoms:
1 Sm 0.0000 0.0000 0.0000  6 Tm 3.48, 6 Dy 3.54
2 Dy 0.0865 0.4202 0.2588  3 Sc 3.38, 6 Dy 3.48-3.49, 2 Tm 3.54, 1 Sm 3.54
3 Dy 0.2474 0.2474 0.7412  3 Sc 3.38, 6 Dy 3.48-3.49, 2 Tm 3.54, 1 Sm 3.54
4 Dy 0.4202 0.0865 0.2588  3 Sc 3.38, 6 Dy 3.48-3.49, 2 Tm 3.54, 1 Sm 3.54
5 Dy 0.5798 0.9135 0.7412  3 Sc 3.38, 6 Dy 3.48-3.49, 2 Tm 3.54, 1 Sm 3.54
6 Dy 0.7526 0.7526 0.2588  3 Sc 3.38, 6 Dy 3.48-3.49, 2 Tm 3.54, 1 Sm 3.54
7 Dy 0.9135 0.5798 0.7412  3 Sc 3.38, 6 Dy 3.48-3.49, 2 Tm 3.54, 1 Sm 3.54
8 Tm 0.3334 0.6666 0.0000  3 Tm 3.48, 3 Sm 3.48, 6 Dy 3.54
9 Tm 0.6666 0.3334 0.0000  3 Tm 3.48, 3 Sm 3.48, 6 Dy 3.54
10 Sc 0.1669 0.8331 0.5000  6 Dy 3.38, 6 Sc 3.48
11 Sc 0.5000 0.5000 0.5000  6 Dy 3.38, 6 Sc 3.48
12 Sc 0.8331 0.1669 0.5000  6 Dy 3.38, 6 Sc 3.48

2.
VASP calculation (PBE) on an optimized crystal structure of ZnWBr2.

## Properties
calculated total energy	-16.98	eV per formula unit
formation energy (no corrections)	148	meV/atom

Cell: 3.7385 3.3863 8.0607 Å, 90.00 102.79 90.00°
Closest atoms and distances in Å follow each position.
Fractional coordinates of all 4 atoms:
1 Zn 0.0000 0.0000 0.0000  4 W 2.63
2 W 0.5458 0.5000 0.0960  3 Br 2.55-2.56, 4 Zn 2.63
3 Br 0.3911 0.5000 0.7714  1 W 2.55
4 Br 0.6618 0.0000 0.3401  2 W 2.56

What did the first record say?
VASP calculation (PBE) on an optimized crystal structure of SmDy6Tm2Sc3.

## Properties
calculated total energy	-59.74	eV per formula unit
energy of formation from the pure elements	0.044	eV per atom

Cell: 6.0282 6.0282 11.4378 Å, 95.03 95.03 119.96°
Closest atoms and distances in Å follow each position.
Fractional coordinates of all 12 atoms:
1 Sm 0.0000 0.0000 0.0000  6 Tm 3.48, 6 Dy 3.54
2 Dy 0.0865 0.4202 0.2588  3 Sc 3.38, 6 Dy 3.48-3.49, 2 Tm 3.54, 1 Sm 3.54
3 Dy 0.2474 0.2474 0.7412  3 Sc 3.38, 6 Dy 3.48-3.49, 2 Tm 3.54, 1 Sm 3.54
4 Dy 0.4202 0.0865 0.2588  3 Sc 3.38, 6 Dy 3.48-3.49, 2 Tm 3.54, 1 Sm 3.54
5 Dy 0.5798 0.9135 0.7412  3 Sc 3.38, 6 Dy 3.48-3.49, 2 Tm 3.54, 1 Sm 3.54
6 Dy 0.7526 0.7526 0.2588  3 Sc 3.38, 6 Dy 3.48-3.49, 2 Tm 3.54, 1 Sm 3.54
7 Dy 0.9135 0.5798 0.7412  3 Sc 3.38, 6 Dy 3.48-3.49, 2 Tm 3.54, 1 Sm 3.54
8 Tm 0.3334 0.6666 0.0000  3 Tm 3.48, 3 Sm 3.48, 6 Dy 3.54
9 Tm 0.6666 0.3334 0.0000  3 Tm 3.48, 3 Sm 3.48, 6 Dy 3.54
10 Sc 0.1669 0.8331 0.5000  6 Dy 3.38, 6 Sc 3.48
11 Sc 0.5000 0.5000 0.5000  6 Dy 3.38, 6 Sc 3.48
12 Sc 0.8331 0.1669 0.5000  6 Dy 3.38, 6 Sc 3.48

Question: Look up the calculated total energy of the second one.
Answer: -16.98 eV per formula unit

Question: Which formula does entry 2 have?
Answer: ZnWBr2